A | Density functional theory data (PBE) for a relaxed Ta2Zn2Ga crystal.

Lattice parameters (Å, degrees): 3.946 3.946 12.090 90.00 90.00 90.00
Atoms (fractional coordinates):
1 Ta 0.000 0.500 0.250
2 Ta 0.000 0.500 0.750
3 Ta 0.500 0.000 0.250
4 Ta 0.500 0.000 0.750
5 Zn 0.000 0.000 0.096
6 Zn 0.000 0.000 0.904
7 Zn 0.500 0.500 0.404
8 Zn 0.500 0.500 0.596
9 Ga 0.000 0.000 0.500
10 Ga 0.500 0.500 0.000

SG = I4/mmm (139)


B | Density functional theory data (PBE) for a relaxed Ta2Zn2Ga crystal.

Lattice parameters (Å, degrees): 6.387 6.387 3.928 90.00 90.00 90.00
Atoms (fractional coordinates):
1 Ta 0.174 0.326 0.000
2 Ta 0.326 0.826 0.000
3 Ta 0.674 0.174 0.000
4 Ta 0.826 0.674 0.000
5 Zn 0.130 0.630 0.500
6 Zn 0.370 0.130 0.500
7 Zn 0.630 0.870 0.500
8 Zn 0.870 0.370 0.500
9 Ga 0.000 0.000 0.500
10 Ga 0.500 0.500 0.500

SG = P4/mbm (127)


The most stable of them is B.


A | Density functional theory data (PBE) for a relaxed ZrTaGa2 crystal.

Lattice parameters (Å, degrees): 6.577 6.577 6.577 90.00 90.00 90.00
Atoms (fractional coordinates):
1 Zr 0.000 0.000 0.000
2 Zr 0.000 0.500 0.500
3 Zr 0.500 0.000 0.500
4 Zr 0.500 0.500 0.000
5 Ta 0.000 0.000 0.500
6 Ta 0.000 0.500 0.000
7 Ta 0.500 0.000 0.000
8 Ta 0.500 0.500 0.500
9 Ga 0.250 0.250 0.250
10 Ga 0.250 0.250 0.750
11 Ga 0.250 0.750 0.250
12 Ga 0.250 0.750 0.750
13 Ga 0.750 0.250 0.250
14 Ga 0.750 0.250 0.750
15 Ga 0.750 0.750 0.250
16 Ga 0.750 0.750 0.750

SG = Fm-3m (225)


B | Density functional theory data (PBE) for a relaxed ZrTaGa2 crystal.

Lattice parameters (Å, degrees): 3.778 3.778 18.813 90.00 90.00 120.00
Atoms (fractional coordinates):
1 Zr 0.000 0.000 0.000
2 Zr 0.333 0.667 0.667
3 Zr 0.667 0.333 0.333
4 Ta 0.000 0.000 0.500
5 Ta 0.333 0.667 0.167
6 Ta 0.667 0.333 0.833
7 Ga 0.000 0.000 0.245
8 Ga 0.000 0.000 0.755
9 Ga 0.333 0.667 0.421
10 Ga 0.333 0.667 0.912
11 Ga 0.667 0.333 0.088
12 Ga 0.667 0.333 0.579

SG = R-3m (166)


C | Density functional theory data (PBE) for a relaxed ZrTaGa2 crystal.

Lattice parameters (Å, degrees): 4.021 4.021 19.769 90.00 90.00 90.00
Atoms (fractional coordinates):
1 Zr 0.000 0.000 0.000
2 Zr 0.000 0.500 0.250
3 Zr 0.500 0.000 0.750
4 Zr 0.500 0.500 0.500
5 Ta 0.000 0.000 0.500
6 Ta 0.000 0.500 0.750
7 Ta 0.500 0.000 0.250
8 Ta 0.500 0.500 0.000
9 Ga 0.226 0.250 0.625
10 Ga 0.250 0.726 0.875
11 Ga 0.250 0.774 0.375
12 Ga 0.274 0.250 0.125
13 Ga 0.726 0.750 0.125
14 Ga 0.750 0.226 0.375
15 Ga 0.750 0.274 0.875
16 Ga 0.774 0.750 0.625

SG = I-42d (122)


The most stable of them is A.


A | Density functional theory data (PBE) for a relaxed ZrTaGa2 crystal.

Lattice parameters (Å, degrees): 3.481 3.481 5.884 90.00 90.00 90.00
Atoms (fractional coordinates):
1 Zr 0.000 0.000 0.000
2 Ta 0.000 0.000 0.500
3 Ga 0.500 0.500 0.271
4 Ga 0.500 0.500 0.729

SG = P4/mmm (123)


B | Density functional theory data (PBE) for a relaxed ZrTaGa2 crystal.

Lattice parameters (Å, degrees): 4.183 4.183 4.051 90.00 90.00 90.00
Atoms (fractional coordinates):
1 Zr 0.000 0.000 0.000
2 Ta 0.500 0.500 0.000
3 Ga 0.000 0.500 0.500
4 Ga 0.500 0.000 0.500

SG = P4/mmm (123)


C | Density functional theory data (PBE) for a relaxed ZrTaGa2 crystal.

Lattice parameters (Å, degrees): 7.375 3.709 10.577 90.00 90.00 90.00
Atoms (fractional coordinates):
1 Zr 0.230 0.250 0.200
2 Zr 0.270 0.750 0.700
3 Zr 0.730 0.250 0.300
4 Zr 0.770 0.750 0.800
5 Ta 0.050 0.750 0.407
6 Ta 0.450 0.250 0.907
7 Ta 0.550 0.750 0.093
8 Ta 0.950 0.250 0.593
9 Ga 0.069 0.250 0.842
10 Ga 0.204 0.750 0.988
11 Ga 0.296 0.250 0.488
12 Ga 0.431 0.750 0.342
13 Ga 0.569 0.250 0.658
14 Ga 0.704 0.750 0.512
15 Ga 0.796 0.250 0.012
16 Ga 0.931 0.750 0.158

SG = Pnma (62)


The most stable of them is C.


A | Density functional theory data (PBE) for a relaxed Tb4Ga crystal.

Lattice parameters (Å, degrees): 8.487 8.487 8.487 135.33 135.33 65.02
Atoms (fractional coordinates):
1 Tb 0.066 0.194 0.353
2 Tb 0.213 0.566 0.372
3 Tb 0.306 0.159 0.872
4 Tb 0.341 0.713 0.147
5 Tb 0.659 0.287 0.853
6 Tb 0.694 0.841 0.128
7 Tb 0.787 0.434 0.628
8 Tb 0.934 0.806 0.647
9 Ga 0.375 0.125 0.250
10 Ga 0.625 0.875 0.750

SG = I4_1/a (88)


B | Density functional theory data (PBE) for a relaxed Tb4Ga crystal.

Lattice parameters (Å, degrees): 5.529 5.529 5.529 90.00 90.00 90.00
Atoms (fractional coordinates):
1 Tb 0.000 0.000 0.000
2 Tb 0.000 0.500 0.500
3 Tb 0.500 0.000 0.500
4 Tb 0.500 0.500 0.000
5 Ga 0.500 0.500 0.500

SG = Pm-3m (221)


The most stable of them is A.


A | Density functional theory data (PBE) for a relaxed Tb3Ga5 crystal.

Lattice parameters (Å, degrees): 11.295 7.625 9.303 83.07 42.08 54.85
Atoms (fractional coordinates):
1 Tb 0.000 0.000 0.000
2 Tb 0.250 0.250 0.250
3 Tb 0.333 0.673 0.325
4 Tb 0.581 0.925 0.577
5 Tb 0.673 0.333 0.669
6 Tb 0.925 0.581 0.917
7 Ga 0.053 0.763 0.294
8 Ga 0.183 0.491 0.987
9 Ga 0.263 0.911 0.067
10 Ga 0.361 0.956 0.487
11 Ga 0.444 0.444 0.556
12 Ga 0.491 0.183 0.339
13 Ga 0.694 0.694 0.806
14 Ga 0.763 0.053 0.889
15 Ga 0.911 0.263 0.759
16 Ga 0.956 0.361 0.197

SG = Fdd2 (43)


B | Density functional theory data (PBE) for a relaxed Tb3Ga5 crystal.

Lattice parameters (Å, degrees): 11.500 9.731 6.145 90.00 90.00 90.00
Atoms (fractional coordinates):
1 Tb 0.075 0.250 0.153
2 Tb 0.148 0.510 0.611
3 Tb 0.148 0.990 0.611
4 Tb 0.352 0.010 0.111
5 Tb 0.352 0.490 0.111
6 Tb 0.425 0.750 0.653
7 Tb 0.575 0.250 0.347
8 Tb 0.648 0.510 0.889
9 Tb 0.648 0.990 0.889
10 Tb 0.852 0.010 0.389
11 Tb 0.852 0.490 0.389
12 Tb 0.925 0.750 0.847
13 Ga 0.005 0.250 0.631
14 Ga 0.090 0.553 0.127
15 Ga 0.090 0.947 0.127
16 Ga 0.198 0.750 0.902
17 Ga 0.248 0.750 0.325
18 Ga 0.252 0.250 0.825
19 Ga 0.302 0.250 0.402
20 Ga 0.410 0.053 0.627
21 Ga 0.410 0.447 0.627
22 Ga 0.495 0.750 0.131
23 Ga 0.505 0.250 0.869
24 Ga 0.590 0.553 0.373
25 Ga 0.590 0.947 0.373
26 Ga 0.698 0.750 0.598
27 Ga 0.748 0.750 0.175
28 Ga 0.752 0.250 0.675
29 Ga 0.802 0.250 0.098
30 Ga 0.910 0.053 0.873
31 Ga 0.910 0.447 0.873
32 Ga 0.995 0.750 0.369

SG = Pnma (62)


The most stable of them is B.


A | Density functional theory data (PBE) for a relaxed TbGa3Tc crystal.

Lattice parameters (Å, degrees): 6.283 6.283 5.542 90.00 90.00 120.00
Atoms (fractional coordinates):
1 Tb 0.333 0.667 0.250
2 Tb 0.667 0.333 0.750
3 Ga 0.196 0.392 0.750
4 Ga 0.196 0.804 0.750
5 Ga 0.392 0.196 0.250
6 Ga 0.608 0.804 0.750
7 Ga 0.804 0.196 0.250
8 Ga 0.804 0.608 0.250
9 Tc 0.000 0.000 0.000
10 Tc 0.000 0.000 0.500

SG = P6_3/mmc (194)


B | Density functional theory data (PBE) for a relaxed TbGa3Tc crystal.

Lattice parameters (Å, degrees): 4.755 4.755 4.755 90.00 90.00 90.00
Atoms (fractional coordinates):
1 Tb 0.000 0.000 0.000
2 Ga 0.000 0.500 0.500
3 Ga 0.500 0.000 0.500
4 Ga 0.500 0.500 0.000
5 Tc 0.500 0.500 0.500

SG = Pm-3m (221)


The most stable of them is A.


A | Density functional theory data (PBE) for a relaxed TbThGaTc crystal.

Lattice parameters (Å, degrees): 3.963 4.108 11.599 90.00 90.00 90.00
Atoms (fractional coordinates):
1 Tb 0.000 0.000 0.000
2 Tb 0.000 0.500 0.500
3 Th 0.500 0.000 0.723
4 Th 0.500 0.500 0.223
5 Ga 0.500 0.000 0.424
6 Ga 0.500 0.500 0.924
7 Tc 0.000 0.000 0.270
8 Tc 0.000 0.500 0.770

SG = Amm2 (38)


B | Density functional theory data (PBE) for a relaxed TbThGaTc crystal.

Lattice parameters (Å, degrees): 7.158 7.158 7.158 90.00 90.00 90.00
Atoms (fractional coordinates):
1 Tb 0.000 0.000 0.000
2 Tb 0.000 0.500 0.500
3 Tb 0.500 0.000 0.500
4 Tb 0.500 0.500 0.000
5 Th 0.000 0.000 0.500
6 Th 0.000 0.500 0.000
7 Th 0.500 0.000 0.000
8 Th 0.500 0.500 0.500
9 Ga 0.250 0.250 0.750
10 Ga 0.250 0.750 0.250
11 Ga 0.750 0.250 0.250
12 Ga 0.750 0.750 0.750
13 Tc 0.250 0.250 0.250
14 Tc 0.250 0.750 0.750
15 Tc 0.750 0.250 0.750
16 Tc 0.750 0.750 0.250

SG = F-43m (216)


The most stable of them is A.


A | Density functional theory data (PBE) for a relaxed Tb4GaTe crystal.

Lattice parameters (Å, degrees): 5.899 8.785 7.651 90.00 106.11 90.00
Atoms (fractional coordinates):
1 Tb 0.028 0.051 0.242
2 Tb 0.028 0.449 0.242
3 Tb 0.419 0.250 0.006
4 Tb 0.425 0.750 0.481
5 Tb 0.575 0.250 0.519
6 Tb 0.581 0.750 0.994
7 Tb 0.972 0.551 0.758
8 Tb 0.972 0.949 0.758
9 Ga 0.126 0.750 0.073
10 Ga 0.874 0.250 0.927
11 Te 0.104 0.250 0.591
12 Te 0.896 0.750 0.409

SG = P2_1/m (11)


B | Density functional theory data (PBE) for a relaxed Tb4GaTe crystal.

Lattice parameters (Å, degrees): 8.321 4.144 19.224 90.00 90.00 90.00
Atoms (fractional coordinates):
1 Tb 0.004 0.250 0.068
2 Tb 0.034 0.750 0.217
3 Tb 0.140 0.750 0.441
4 Tb 0.144 0.750 0.650
5 Tb 0.356 0.250 0.150
6 Tb 0.360 0.250 0.941
7 Tb 0.466 0.250 0.717
8 Tb 0.496 0.750 0.568
9 Tb 0.504 0.250 0.432
10 Tb 0.534 0.750 0.283
11 Tb 0.640 0.750 0.059
12 Tb 0.644 0.750 0.850
13 Tb 0.856 0.250 0.350
14 Tb 0.860 0.250 0.559
15 Tb 0.966 0.250 0.783
16 Tb 0.996 0.750 0.932
17 Ga 0.235 0.250 0.546
18 Ga 0.265 0.750 0.046
19 Ga 0.735 0.250 0.954
20 Ga 0.765 0.750 0.454
21 Te 0.236 0.250 0.312
22 Te 0.264 0.750 0.812
23 Te 0.736 0.250 0.188
24 Te 0.764 0.750 0.688

SG = Pnma (62)


The most stable of them is B.